[1]
12
Lattice="-4.830 0.153 5.471 -2.324 -0.293 -6.914 2.481 -8.003 0.790" Properties=species:S:1:pos:R:3 comment="Cs3Ce2HoS6, optimized geometry, DFT PBE" m_tot_mub_per_cell=2.01 energy_ev_per_atom=-5.4202 n_ef_per_ev_cell=11.84 raw_formation_energy_ev_per_atom=-1.773 pbc="T T T"
S -1.548 -1.425 1.830
S -0.736 -1.570 -2.185
Ce -3.160 -0.144 -2.785
S 0.144 -6.570 0.265
S -3.938 -6.573 1.532
S -4.818 -1.573 -0.918
Ce -3.995 0.004 1.343
Ho 0.000 0.000 0.000
Cs -2.337 -4.071 -0.326
S -3.125 -6.717 -2.483
Cs -3.171 -3.923 3.794
Cs -1.503 -4.220 -4.447

***

[2]
3
Lattice="-0.463 3.492 0.103 -3.464 -0.445 -0.474 1.065 -1.845 7.061" Properties=species:S:1:pos:R:3 comment="LaDyAl, optimized geometry, DFT PBE" m_tot_mub_per_cell=0.00 relative_energy_ev_per_fu=0.000 energy_ev_per_atom=-4.6393 n_ef_per_ev_cell=2.85 delta_e_f_mev_per_atom=-215.2 pbc="T T T"
Dy -2.130 1.464 1.084
La -0.542 -0.194 4.143
Al -2.784 1.230 6.090

***

[3]
10
Lattice="-5.002 4.112 -0.073 1.584 -0.903 6.125 2.714 4.074 4.096" Properties=species:S:1:pos:R:3 comment="Ca2AlCuPd6, optimized geometry, DFT PBE" m_tot_mub_per_cell=0.00 energy_ev_per_atom=-4.8141 n_ef_per_ev_cell=4.70 delta_e_f_mev_per_atom=-514.3 pbc="T T T"
Pd -1.191 2.397 5.279
Pd 0.643 2.652 3.175
Pd 2.792 4.225 8.287
Pd 0.487 4.887 4.869
Ca 1.302 2.352 6.542
Ca -2.006 4.932 3.605
Pd -3.496 3.058 1.860
Cu 0.000 0.000 0.000
Al -1.709 1.605 3.026
Pd -1.347 4.632 6.973

***

[4]
4
Lattice="5.065 0.000 0.000 2.532 4.386 0.000 2.532 1.462 4.136" Properties=species:S:1:pos:R:3 comment="TbErInIr, optimized geometry, DFT PBE" m_tot_mub_per_cell=0.00 energy_ev_per_atom=-5.7567 n_ef_per_ev_cell=2.41 delta_e_f_mev_per_atom=-558.5 pbc="T T T"
In 5.065 2.924 2.068
Er 7.597 4.386 3.102
Tb 2.532 1.462 1.034
Ir 0.000 0.000 0.000

***

[5]
5
Lattice="5.139 0.000 0.000 0.000 5.139 0.000 0.000 0.000 3.726" Properties=species:S:1:pos:R:3 comment="Na2CdIrN, optimized geometry, DFT PBE" m_tot_mub_per_cell=0.12 energy_ev_per_atom=-4.1983 n_ef_per_ev_cell=1.53 raw_formation_energy_ev_per_atom=-0.050 pbc="T T T"
Ir 0.000 0.000 1.863
N 0.000 0.000 0.000
Na 2.570 0.000 0.000
Na 0.000 2.570 0.000
Cd 2.570 2.570 1.863

***

[6]
19
Lattice="0.059 8.560 -3.712 7.187 -4.793 -3.525 -7.908 -4.257 -2.529" Properties=species:S:1:pos:R:3 comment="PrY6Er12, optimized geometry, DFT PBE" m_tot_mub_per_cell=0.00 relative_energy_ev_per_fu=5.428 energy_ev_per_atom=-4.7260 n_ef_per_ev_cell=25.53 delta_e_f_mev_per_atom=448.7 pbc="T T T"
Y -0.187 3.505 -4.726
Er -3.450 -5.263 -4.419
Y -0.474 -3.995 -5.039
Er 2.460 -5.472 -4.809
Y -3.596 -1.979 -4.220
Er 5.579 -0.455 -5.272
Er 1.103 -1.325 -6.921
Er -1.765 0.835 -2.844
Y 2.934 1.489 -5.545
Er -0.256 -1.993 -2.804
Er 1.431 0.721 -3.055
Er 2.788 4.772 -5.346
Er -3.121 4.982 -4.956
Er -6.240 -0.035 -4.493
Er -2.093 -1.211 -6.710
Er -0.406 1.502 -6.961
Pr 0.000 0.000 0.000
Y -3.524 1.718 -5.119
Y 2.862 -2.208 -4.646